(1)
# RbCd2PbF8

An optimized crystal structure of RbCd2PbF8 (PBE, Alexandria).

E_tot   -47.8 eV per cell
V   15.81 A^3/atom

a = 4.144 Å, b = 7.866 Å, c = 5.820 Å
α = 90.00°, β = 90.62°, γ = 90.00°
Sites, in units of the cell vectors:
1 Rb 0.000 0.000 0.000
2 Cd 0.500 0.242 0.500
3 Cd 0.500 0.758 0.500
4 Pb 0.000 0.500 0.000
5 F 0.003 0.285 0.274
6 F 0.003 0.715 0.274
7 F 0.495 0.000 0.716
8 F 0.497 0.500 0.766
9 F 0.503 0.500 0.234
10 F 0.505 0.000 0.284
11 F 0.997 0.285 0.726
12 F 0.997 0.715 0.726

=====

(2)
# CaLa2Si6

An optimized crystal structure of CaLa2Si6 (PBE, Alexandria).

E_tot   -49.1 eV per cell
V   21.37 A^3/atom

a = 7.166 Å, b = 7.166 Å, c = 4.325 Å
α = 90.00°, β = 90.00°, γ = 120.00°
Sites, in units of the cell vectors:
1 Ca 0.000 0.000 0.000
2 La 0.333 0.667 0.000
3 La 0.667 0.333 0.000
4 Si 0.000 0.333 0.500
5 Si 0.000 0.667 0.500
6 Si 0.333 0.000 0.500
7 Si 0.333 0.333 0.500
8 Si 0.667 0.000 0.500
9 Si 0.667 0.667 0.500

=====

(3)
# BaBe2CoH

An optimized crystal structure of BaBe2CoH (PBE, Alexandria).

E_tot   -18.0 eV per cell
V   16.15 A^3/atom

a = 4.120 Å, b = 4.120 Å, c = 4.758 Å
α = 90.00°, β = 90.00°, γ = 90.00°
Sites, in units of the cell vectors:
1 Ba 0.000 0.000 0.000
2 Be 0.000 0.500 0.500
3 Be 0.500 0.000 0.500
4 Co 0.500 0.500 0.500
5 H 0.500 0.500 0.000

=====

(4)
# Ba6Na2IrS

An optimized crystal structure of Ba6Na2IrS (PBE, Alexandria).

E_tot   -31.5 eV per cell
V   49.91 A^3/atom

a = 8.903 Å, b = 8.903 Å, c = 8.903 Å
α = 119.99°, β = 119.99°, γ = 90.02°
Sites, in units of the cell vectors:
1 Ba 0.000 0.000 0.000
2 Ba 0.000 0.000 0.510
3 Ba 0.000 0.490 0.000
4 Ba 0.490 0.000 0.000
5 Ba 0.490 0.490 0.000
6 Ba 0.490 0.490 0.490
7 Na 0.496 0.996 0.500
8 Na 0.996 0.496 0.500
9 Ir 0.245 0.245 0.000
10 S 0.745 0.745 0.000

=====

(5)
# LuPaGe2

An optimized crystal structure of LuPaGe2 (PBE, Alexandria).

E_tot   -25.6 eV per cell
E_form   -0.596 eV/atom
V   24.48 A^3/atom
Energy above the lowest structure with this stoichiometry   0.000 eV/atom

a = 6.950 Å, b = 6.950 Å, c = 6.950 Å
α = 34.87°, β = 34.87°, γ = 34.87°
Sites, in units of the cell vectors:
1 Lu 0.000 0.000 0.000
2 Pa 0.500 0.500 0.500
3 Ge 0.249 0.249 0.249
4 Ge 0.751 0.751 0.751

=====

(6)
# Ac2SmAs4Pt3

An optimized crystal structure of Ac2SmAs4Pt3 (PBE, Alexandria).

E_tot   -59.8 eV per cell
E_form   -1.010 eV/atom
V   22.88 A^3/atom

a = 4.567 Å, b = 4.567 Å, c = 10.968 Å
α = 90.00°, β = 90.00°, γ = 90.00°
Sites, in units of the cell vectors:
1 Ac 0.000 0.500 0.223
2 Ac 0.500 0.000 0.777
3 Sm 0.000 0.000 0.500
4 As 0.000 0.000 0.000
5 As 0.000 0.500 0.657
6 As 0.500 0.000 0.343
7 As 0.500 0.500 0.000
8 Pt 0.000 0.500 0.892
9 Pt 0.500 0.000 0.108
10 Pt 0.500 0.500 0.500

=====

(7)
# CaTaSi2

An optimized crystal structure of CaTaSi2 (PBE, Alexandria).

E_tot   -24.1 eV per cell
V   18.29 A^3/atom
Energy above the lowest structure with this stoichiometry   0.412 eV/atom

a = 4.694 Å, b = 4.694 Å, c = 4.694 Å
α = 60.00°, β = 60.00°, γ = 60.00°
Sites, in units of the cell vectors:
1 Ca 0.000 0.000 0.000
2 Ta 0.500 0.500 0.500
3 Si 0.250 0.250 0.250
4 Si 0.750 0.750 0.750

=====

(8)
# CrSnSe2

An optimized crystal structure of CrSnSe2 (PBE, Alexandria).

E_tot   -86.2 eV per cell
V   26.85 A^3/atom

a = 7.743 Å, b = 3.870 Å, c = 14.335 Å
α = 90.00°, β = 90.00°, γ = 90.00°
Sites, in units of the cell vectors:
1 Cr 0.027 0.250 0.058
2 Cr 0.473 0.750 0.558
3 Cr 0.527 0.250 0.442
4 Cr 0.973 0.750 0.942
5 Sn 0.242 0.750 0.354
6 Sn 0.258 0.250 0.854
7 Sn 0.742 0.750 0.146
8 Sn 0.758 0.250 0.646
9 Se 0.041 0.750 0.778
10 Se 0.211 0.750 0.049
11 Se 0.289 0.250 0.549
12 Se 0.459 0.250 0.278
13 Se 0.541 0.750 0.722
14 Se 0.711 0.750 0.451
15 Se 0.789 0.250 0.951
16 Se 0.959 0.250 0.222